[1]
DFT (PBE) results for a geometry-optimized Ba3BiH2 structure.

Cell and atoms, written as CIF:
```
data_Ba3BiH2
_space_group_name_H-M_alt 'C 1 2/m 1'
_space_group_IT_number 12
_space_group_name_Hall '-C 2y'
_cell_length_a 25.951
_cell_length_b 4.867
_cell_length_c 7.086
_cell_angle_alpha 90.00
_cell_angle_beta 105.42
_cell_angle_gamma 90.00
loop_
_atom_site_label
_atom_site_fract_x
_atom_site_fract_y
_atom_site_fract_z
Ba1 0.050 0.000 0.276
Ba2 0.103 0.500 0.859
Ba3 0.228 0.000 0.228
Bi1 0.149 0.500 0.411
H1 0.062 0.000 0.900
H2 0.209 0.500 0.011
```

Properties
The value obtained for the magnetic moment is 1.0 μB per formula unit. As for the crystal system: monoclinic. Its total energy is -0.121 Ha/atom.

=====

[2]
DFT (PBE) results for a geometry-optimized Y2Zn4Ga3Ag structure.

Cell and atoms, written as CIF:
```
data_Y2Zn4Ga3Ag
_space_group_name_H-M_alt 'P -4 m 2'
_space_group_IT_number 115
_space_group_name_Hall 'P -4 -2'
_cell_length_a 4.195
_cell_length_b 4.195
_cell_length_c 10.706
_cell_angle_alpha 90.00
_cell_angle_beta 90.00
_cell_angle_gamma 90.00
loop_
_atom_site_label
_atom_site_fract_x
_atom_site_fract_y
_atom_site_fract_z
Y1 0.000 0.500 0.244
Zn1 0.000 0.000 0.000
Zn2 0.000 0.500 0.640
Zn3 0.500 0.500 0.000
Ga1 0.000 0.500 0.864
Ga2 0.500 0.500 0.500
Ag1 0.000 0.000 0.500
```

Properties
The value obtained for the calculated formation energy is -380.9 meV per atom. The value obtained for the magnetic moment is 0.0 μB per formula unit. As for the crystal system: tetragonal.